[1]
VASP calculation (PBE) on a geometry-optimized GdNi4Ge3 structure. Values from VASP.

Summary:
Its space-group type is Pm (6).

The structure in Quantum ESPRESSO input format:
```
&SYSTEM
  ibrav = 0, nat = 8, ntyp = 3
/
ATOMIC_SPECIES
Gd 157.25 Gd.upf
Ni 58.69 Ni.upf
Ge 72.64 Ge.upf
ATOMIC_POSITIONS crystal
Gd 0.0000 0.0000 0.0000
Ni 0.1989 0.5000 0.7278
Ni 0.4921 0.0000 0.7919
Ni 0.6033 0.0000 0.3589
Ni 0.9227 0.5000 0.3418
Ge 0.1512 0.0000 0.4832
Ge 0.4787 0.5000 0.1113
Ge 0.6934 0.5000 0.6608
CELL_PARAMETERS angstrom
5.0790 0.0000 0.0000
0.0000 3.9889 0.0000
-0.8291 0.0000 5.9452
```



[2]
VASP calculation (PBE) on a geometry-optimized Nd3Gd2HoCoTe2 structure. Values from VASP.

Summary:
Its space-group type is Amm2 (38).

The structure in Quantum ESPRESSO input format:
```
&SYSTEM
  ibrav = 0, nat = 9, ntyp = 5
/
ATOMIC_SPECIES
Nd 144.24 Nd.upf
Gd 157.25 Gd.upf
Ho 164.93 Ho.upf
Co 58.93 Co.upf
Te 127.60 Te.upf
ATOMIC_POSITIONS crystal
Nd 0.0000 0.0000 0.0000
Nd 0.0000 0.4040 0.8078
Nd 0.0000 0.8078 0.4040
Gd 0.5000 0.1716 0.4040
Gd 0.5000 0.4040 0.1716
Ho 0.5000 0.6362 0.6362
Co 0.0000 0.4043 0.4043
Te 0.5000 0.0705 0.7373
Te 0.5000 0.7373 0.0705
CELL_PARAMETERS angstrom
4.0010 0.0000 0.0000
0.0000 7.3705 4.2549
0.0000 -7.3705 4.2549
```



Number 1: E -5.493 eV per atom. Number 2: E -5.321 eV per atom.